Run 1
CuS2I2 | PBE-GGA | optimized geometry

Results
Calculated volume ... 253.12 Å³/cell

Lattice parameters (Å, degrees): 6.9045 6.9045 5.3095 90.00 90.00 90.00
Closest atoms and distances in Å follow each position.
Space group P4/mbm (No. 127)
Inequivalent atoms, fractional coordinates:
Cu  0.0000  0.0000  0.0000 (multiplicity 2)  4 S 2.48
S  0.2048  0.2952  0.0000 (multiplicity 4)  2 Cu 2.48, 2 I 2.66
I  0.1835  0.3165  0.5000 (multiplicity 4)  2 S 2.66

=====

Run 2
CuS2I2 | PBE-GGA | optimized geometry

Results
Calculated volume ... 283.14 Å³/cell

Lattice parameters (Å, degrees): 5.9876 5.9876 7.8975 90.00 90.00 90.00
Closest atoms and distances in Å follow each position.
Space group I4/mmm (No. 139)
Inequivalent atoms, fractional coordinates:
Cu  0.0000  0.0000  0.0000 (multiplicity 2)  2 S 3.01
S  0.0000  0.0000  0.3808 (multiplicity 4)  1 S 1.88
I  0.0000  0.5000  0.2500 (multiplicity 4)  4 S 3.17

=====

Run 3
CuS2I2 | PBE-GGA | optimized geometry

Results
Calculated volume ... 314.67 Å³/cell

Lattice parameters (Å, degrees): 19.4165 3.7716 4.3129 90.00 94.94 90.00
Closest atoms and distances in Å follow each position.
Space group Cm (No. 8)
Inequivalent atoms, fractional coordinates:
Cu  0.0000  0.0000  0.0000 (multiplicity 2)  2 S 2.28
S  0.3557  0.0000  0.1996 (multiplicity 2)  1 S 2.00
S  0.4349  0.0000  0.9305 (multiplicity 2)  1 S 2.00
I  0.0778  0.0000  0.5350 (multiplicity 2)  2 Cu 2.61-2.65
I  0.2433  0.0000  0.8754 (multiplicity 2)  1 S 2.49

=====

Run 4
CuS2I2 | PBE-GGA | optimized geometry

Results
Calculated volume ... 706.17 Å³/cell

Lattice parameters (Å, degrees): 9.3134 10.9094 6.9823 90.00 95.49 90.00
Closest atoms and distances in Å follow each position.
Space group C2/c (No. 15)
Inequivalent atoms, fractional coordinates:
Cu  0.0000  0.1963  0.2500 (multiplicity 4)  2 S 2.24
S  0.0279  0.0871  0.5224 (multiplicity 8)  1 S 1.99
I  0.1603  0.3899  0.3317 (multiplicity 8)  1 Cu 2.62

=====

Stability ranking, top entry: run 3; the second entry is 39 meV per atom less favorable.

=====

Run 1
CuSI2 | PBE-GGA | optimized geometry

Results
Calculated volume ... 378.27 Å³/cell

Lattice parameters (Å, degrees): 7.2321 7.2321 7.2321 90.00 90.00 90.00
Closest atoms and distances in Å follow each position.
Space group Fm-3m (No. 225)
Inequivalent atoms, fractional coordinates:
Cu  0.0000  0.0000  0.0000 (multiplicity 4)  8 I 3.13
S  0.0000  0.0000  0.5000 (multiplicity 4)  8 I 3.13
I  0.2500  0.2500  0.2500 (multiplicity 8)  4 S 3.13, 4 Cu 3.13

=====

Run 2
CuSI2 | PBE-GGA | optimized geometry

Results
Calculated volume ... 479.12 Å³/cell

Lattice parameters (Å, degrees): 7.1584 7.1584 9.3501 90.00 90.00 90.00
Closest atoms and distances in Å follow each position.
Space group I-42d (No. 122)
Inequivalent atoms, fractional coordinates:
Cu  0.0000  0.0000  0.0000 (multiplicity 4)  4 I 2.60
S  0.0000  0.0000  0.5000 (multiplicity 4)  4 I 3.00
I  0.2068  0.2500  0.1250 (multiplicity 8)  2 Cu 2.60

=====

Run 3
CuSI2 | PBE-GGA | optimized geometry

Results
Calculated volume ... 230.44 Å³/cell

Lattice parameters (Å, degrees): 6.7479 3.8731 9.1157 90.00 104.70 90.00
Closest atoms and distances in Å follow each position.
Space group Cm (No. 8)
Inequivalent atoms, fractional coordinates:
Cu  0.0000  0.0000  0.0000 (multiplicity 2)  3 S 2.31
S  0.3100  0.0000  0.9352 (multiplicity 2)  3 Cu 2.31, 1 I 2.51
I  0.1079  0.0000  0.2967 (multiplicity 2)  1 Cu 2.62
I  0.2172  0.0000  0.6505 (multiplicity 2)  1 S 2.51

=====

Stability ranking, top entry: run 3; the second entry is 478 meV per atom less favorable.

=====

Run 1
CuS3I | PBE-GGA | optimized geometry

Results
Calculated volume ... 311.32 Å³/cell

Lattice parameters (Å, degrees): 4.1334 7.2392 10.5055 97.40 90.03 92.92
Closest atoms and distances in Å follow each position.
Space group P-1 (No. 2)
Inequivalent atoms, fractional coordinates:
Cu  0.2340  0.1914  0.3079 (multiplicity 2)  2 S 2.25-2.26
S  0.1903  0.0870  0.5002 (multiplicity 2)  1 S 1.96
S  0.2388  0.9034  0.1954 (multiplicity 2)  1 S 1.96
S  0.4565  0.1128  0.9483 (multiplicity 2)  2 S 1.96-2.12
I  0.2503  0.6018  0.7200 (multiplicity 2)  2 Cu 2.58-2.60

=====

Run 2
CuS3I | PBE-GGA | optimized geometry

Results
Calculated volume ... 95.99 Å³/cell

Lattice parameters (Å, degrees): 4.5787 4.5787 4.5787 90.00 90.00 90.00
Closest atoms and distances in Å follow each position.
Space group Pm-3m (No. 221)
Inequivalent atoms, fractional coordinates:
Cu  0.0000  0.0000  0.0000 (multiplicity 1)  6 S 2.29
S  0.0000  0.0000  0.5000 (multiplicity 3)  2 Cu 2.29
I  0.5000  0.5000  0.5000 (multiplicity 1)  12 S 3.24

=====

Stability ranking, top entry: run 1; the second entry is 636 meV per atom less favorable.

=====

Run 1
Cu3SI2 | PBE-GGA | optimized geometry

Results
Calculated volume ... 638.70 Å³/cell

Lattice parameters (Å, degrees): 7.0782 14.2623 7.0240 90.00 115.74 90.00
Closest atoms and distances in Å follow each position.
Space group C2/c (No. 15)
Inequivalent atoms, fractional coordinates:
Cu  0.0000  0.0000  0.0000 (multiplicity 4)  2 S 2.17
Cu  0.1901  0.3396  0.1083 (multiplicity 8)  1 S 2.22
S  0.0000  0.0900  0.7500 (multiplicity 4)  4 Cu 2.17-2.22
I  0.0000  0.2325  0.2500 (multiplicity 4)  2 Cu 2.51
I  0.0000  0.4230  0.7500 (multiplicity 4)  2 Cu 2.57

=====

Run 2
Cu3SI2 | PBE-GGA | optimized geometry

Results
Calculated volume ... 289.72 Å³/cell

Lattice parameters (Å, degrees): 4.0546 12.3521 5.7849 90.00 90.00 90.00
Closest atoms and distances in Å follow each position.
Space group Imm2 (No. 44)
Inequivalent atoms, fractional coordinates:
Cu  0.0000  0.0000  0.0000 (multiplicity 2)  2 S 2.25
Cu  0.0000  0.3541  0.1098 (multiplicity 4)  1 S 2.21
S  0.0000  0.5000  0.3314 (multiplicity 2)  4 Cu 2.21-2.25
I  0.0000  0.1632  0.3187 (multiplicity 4)  4 Cu 2.64-2.73

=====

Stability ranking, top entry: run 2; the second entry is 94 meV per atom less favorable.

=====

Run 1
CuSbSI2 | PBE-GGA | optimized geometry

Results
Calculated volume ... 143.08 Å³/cell

Lattice parameters (Å, degrees): 5.0880 5.0880 5.5269 90.00 90.00 90.00
Closest atoms and distances in Å follow each position.
Space group P4/mmm (No. 123)
Inequivalent atoms, fractional coordinates:
Cu  0.0000  0.0000  0.0000 (multiplicity 1)  4 I 2.54, 2 Sb 2.76
Sb  0.0000  0.0000  0.5000 (multiplicity 1)  2 Cu 2.76
S  0.5000  0.5000  0.5000 (multiplicity 1)  4 Sb 3.60, 8 I 3.76
I  0.0000  0.5000  0.0000 (multiplicity 2)  2 Cu 2.54

=====

Run 2
CuSbSI2 | PBE-GGA | optimized geometry

Results
Calculated volume ... 167.05 Å³/cell

Lattice parameters (Å, degrees): 5.6940 5.6940 5.1524 90.00 90.00 90.00
Closest atoms and distances in Å follow each position.
Space group P4/mmm (No. 123)
Inequivalent atoms, fractional coordinates:
Cu  0.0000  0.0000  0.0000 (multiplicity 1)  8 I 3.84, 4 Sb 4.03
Sb  0.5000  0.5000  0.0000 (multiplicity 1)  2 S 2.58
S  0.5000  0.5000  0.5000 (multiplicity 1)  2 Sb 2.58, 4 I 2.85
I  0.0000  0.5000  0.5000 (multiplicity 2)  2 S 2.85

=====

Stability ranking, top entry: run 1; the second entry is 195 meV per atom less favorable.

=====

Run 1
CuSbI2 | PBE-GGA | optimized geometry

Results
Calculated volume ... 487.49 Å³/cell

Lattice parameters (Å, degrees): 7.7857 7.7857 8.0420 90.00 90.00 90.00
Closest atoms and distances in Å follow each position.
Space group I-42d (No. 122)
Inequivalent atoms, fractional coordinates:
Cu  0.0000  0.0000  0.0000 (multiplicity 4)  4 I 2.68
Sb  0.0000  0.0000  0.5000 (multiplicity 4)  4 I 3.21
I  0.1982  0.2500  0.1250 (multiplicity 8)  2 Cu 2.68

=====

Run 2
CuSbI2 | PBE-GGA | optimized geometry

Results
Calculated volume ... 438.39 Å³/cell

Lattice parameters (Å, degrees): 7.5966 7.5966 7.5966 90.00 90.00 90.00
Closest atoms and distances in Å follow each position.
Space group Fm-3m (No. 225)
Inequivalent atoms, fractional coordinates:
Cu  0.0000  0.0000  0.0000 (multiplicity 4)  8 I 3.29
Sb  0.0000  0.0000  0.5000 (multiplicity 4)  8 I 3.29
I  0.2500  0.2500  0.2500 (multiplicity 8)  4 Sb 3.29, 4 Cu 3.29

=====

Stability ranking, top entry: run 1; the second entry is 270 meV per atom less favorable.

=====

Run 1
CuSb2SeI | PBE-GGA | optimized geometry

Results
Calculated volume ... 170.82 Å³/cell

Lattice parameters (Å, degrees): 5.4317 5.4317 5.7899 90.00 90.00 90.00
Closest atoms and distances in Å follow each position.
Space group P4/mmm (No. 123)
Inequivalent atoms, fractional coordinates:
Cu  0.0000  0.0000  0.0000 (multiplicity 1)  4 I 3.84, 8 Sb 3.97
Sb  0.0000  0.5000  0.5000 (multiplicity 2)  2 Se 2.72
Se  0.5000  0.5000  0.5000 (multiplicity 1)  4 Sb 2.72, 2 I 2.89
I  0.5000  0.5000  0.0000 (multiplicity 1)  2 Se 2.89

=====

Run 2
CuSb2SeI | PBE-GGA | optimized geometry

Results
Calculated volume ... 137.38 Å³/cell

Lattice parameters (Å, degrees): 5.2270 5.2270 5.0283 90.00 90.00 90.00
Closest atoms and distances in Å follow each position.
Space group P4/mmm (No. 123)
Inequivalent atoms, fractional coordinates:
Cu  0.0000  0.0000  0.0000 (multiplicity 1)  2 I 2.51, 4 Sb 2.61
Sb  0.0000  0.5000  0.0000 (multiplicity 2)  2 Cu 2.61
Se  0.5000  0.5000  0.5000 (multiplicity 1)  8 Sb 3.63, 4 I 3.70
I  0.0000  0.0000  0.5000 (multiplicity 1)  2 Cu 2.51

=====

Stability ranking, top entry: run 2; the second entry is 448 meV per atom less favorable.

=====

Run 1
CuSbSeI2 | PBE-GGA | optimized geometry

Results
Calculated volume ... 145.11 Å³/cell

Lattice parameters (Å, degrees): 5.1334 5.1334 5.5066 90.00 90.00 90.00
Closest atoms and distances in Å follow each position.
Space group P4/mmm (No. 123)
Inequivalent atoms, fractional coordinates:
Cu  0.0000  0.0000  0.0000 (multiplicity 1)  4 I 2.57, 2 Sb 2.75
Sb  0.0000  0.0000  0.5000 (multiplicity 1)  2 Cu 2.75
Se  0.5000  0.5000  0.5000 (multiplicity 1)  4 Sb 3.63, 8 I 3.76
I  0.0000  0.5000  0.0000 (multiplicity 2)  2 Cu 2.57

=====

Run 2
CuSbSeI2 | PBE-GGA | optimized geometry

Results
Calculated volume ... 186.67 Å³/cell

Lattice parameters (Å, degrees): 5.8338 5.8338 5.4850 90.00 90.00 90.00
Closest atoms and distances in Å follow each position.
Space group P4/mmm (No. 123)
Inequivalent atoms, fractional coordinates:
Cu  0.0000  0.0000  0.0000 (multiplicity 1)  8 I 4.00, 4 Sb 4.13
Sb  0.5000  0.5000  0.0000 (multiplicity 1)  2 Se 2.74
Se  0.5000  0.5000  0.5000 (multiplicity 1)  2 Sb 2.74, 4 I 2.92
I  0.0000  0.5000  0.5000 (multiplicity 2)  2 Se 2.92

=====

Stability ranking, top entry: run 1; the second entry is 327 meV per atom less favorable.

=====

Run 1
CuSiSbI2 | PBE-GGA | optimized geometry

Results
Calculated volume ... 161.64 Å³/cell

Lattice parameters (Å, degrees): 5.4466 5.4466 5.4489 90.00 90.00 90.00
Closest atoms and distances in Å follow each position.
Space group P4/mmm (No. 123)
Inequivalent atoms, fractional coordinates:
Cu  0.0000  0.0000  0.0000 (multiplicity 1)  4 Sb 3.85, 8 I 3.85
Si  0.5000  0.5000  0.5000 (multiplicity 1)  4 I 2.72, 2 Sb 2.72
Sb  0.5000  0.5000  0.0000 (multiplicity 1)  2 Si 2.72
I  0.0000  0.5000  0.5000 (multiplicity 2)  2 Si 2.72

=====

Run 2
CuSiSbI2 | PBE-GGA | optimized geometry

Results
Calculated volume ... 144.89 Å³/cell

Lattice parameters (Å, degrees): 5.3071 5.3071 5.1442 90.00 90.00 90.00
Closest atoms and distances in Å follow each position.
Space group P4/mmm (No. 123)
Inequivalent atoms, fractional coordinates:
Cu  0.0000  0.0000  0.0000 (multiplicity 1)  2 Sb 2.57, 4 I 2.65
Si  0.5000  0.5000  0.5000 (multiplicity 1)  8 I 3.70, 4 Sb 3.75
Sb  0.0000  0.0000  0.5000 (multiplicity 1)  2 Cu 2.57
I  0.0000  0.5000  0.0000 (multiplicity 2)  2 Cu 2.65

=====

Stability ranking, top entry: run 2; the second entry is 63 meV per atom less favorable.

=====

Run 1
CuTcSb2I | PBE-GGA | optimized geometry

Results
Calculated volume ... 148.88 Å³/cell

Lattice parameters (Å, degrees): 5.0398 5.0398 5.8616 90.00 90.00 90.00
Closest atoms and distances in Å follow each position.
Space group P4/mmm (No. 123)
Inequivalent atoms, fractional coordinates:
Cu  0.0000  0.0000  0.0000 (multiplicity 1)  4 I 3.56, 8 Sb 3.87
Tc  0.5000  0.5000  0.5000 (multiplicity 1)  4 Sb 2.52
Sb  0.0000  0.5000  0.5000 (multiplicity 2)  2 Tc 2.52
I  0.5000  0.5000  0.0000 (multiplicity 1)  2 Tc 2.93

=====

Run 2
CuTcSb2I | PBE-GGA | optimized geometry

Results
Calculated volume ... 136.51 Å³/cell

Lattice parameters (Å, degrees): 5.0491 5.0491 5.3546 90.00 90.00 90.00
Closest atoms and distances in Å follow each position.
Space group P4/mmm (No. 123)
Inequivalent atoms, fractional coordinates:
Cu  0.0000  0.0000  0.0000 (multiplicity 1)  4 Sb 2.52, 2 I 2.68
Tc  0.5000  0.5000  0.5000 (multiplicity 1)  4 I 3.57, 8 Sb 3.68
Sb  0.0000  0.5000  0.0000 (multiplicity 2)  2 Cu 2.52
I  0.0000  0.0000  0.5000 (multiplicity 1)  2 Cu 2.68

=====

Stability ranking, top entry: run 1; the second entry is 364 meV per atom less favorable.

=====

Run 1
CuSbTe2I | PBE-GGA | optimized geometry

Results
Calculated volume ... 198.34 Å³/cell

Lattice parameters (Å, degrees): 5.7939 5.7939 5.9082 90.00 90.00 90.00
Closest atoms and distances in Å follow each position.
Space group P4/mmm (No. 123)
Inequivalent atoms, fractional coordinates:
Cu  0.0000  0.0000  0.0000 (multiplicity 1)  4 Sb 4.10, 8 Te 4.14
Sb  0.5000  0.5000  0.0000 (multiplicity 1)  2 I 2.95
Te  0.0000  0.5000  0.5000 (multiplicity 2)  2 I 2.90
I  0.5000  0.5000  0.5000 (multiplicity 1)  4 Te 2.90, 2 Sb 2.95

=====

Run 2
CuSbTe2I | PBE-GGA | optimized geometry

Results
Calculated volume ... 142.32 Å³/cell

Lattice parameters (Å, degrees): 5.2603 5.2603 5.1433 90.00 90.00 90.00
Closest atoms and distances in Å follow each position.
Space group P4/mmm (No. 123)
Inequivalent atoms, fractional coordinates:
Cu  0.0000  0.0000  0.0000 (multiplicity 1)  2 I 2.57, 4 Te 2.63
Sb  0.5000  0.5000  0.5000 (multiplicity 1)  8 Te 3.68, 4 I 3.72
Te  0.0000  0.5000  0.0000 (multiplicity 2)  2 Cu 2.63
I  0.0000  0.0000  0.5000 (multiplicity 1)  2 Cu 2.57

=====

Run 3
CuSbTe2I | PBE-GGA | optimized geometry

Results
Calculated volume ... 146.10 Å³/cell

Lattice parameters (Å, degrees): 5.0351 5.0351 5.7630 90.00 90.00 90.00
Closest atoms and distances in Å follow each position.
Space group P4/mmm (No. 123)
Inequivalent atoms, fractional coordinates:
Cu  0.0000  0.0000  0.0000 (multiplicity 1)  4 Te 2.52
Sb  0.0000  0.0000  0.5000 (multiplicity 1)  2 Cu 2.88
Te  0.0000  0.5000  0.0000 (multiplicity 2)  2 Cu 2.52
I  0.5000  0.5000  0.5000 (multiplicity 1)  4 Sb 3.56, 8 Te 3.83

=====

Stability ranking, top entry: run 2; the second entry is 27 meV per atom less favorable.